i | Density functional theory data (PBE) for crystalline NiGe2Os at its relaxed geometry.

```
4
Lattice="0.000 3.037 3.037 3.037 0.000 3.037 3.037 3.037 0.000" Properties=species:S:1:pos:R:3 pbc="T T T"
Ni 0.000 0.000 0.000
Ge 4.555 4.555 4.555
Ge 1.518 1.518 1.518
Os 3.037 3.037 3.037
```

- Total magnetization: 0.00 μB per cell
- DOS(E_F): 2.7 states/eV/f.u.
- Mass density: 11.69 g cm⁻³

---

ii | Density functional theory data (PBE) for crystalline NiGe2Os at its relaxed geometry.

```
4
Lattice="-1.405 -2.561 0.372 1.508 -2.409 0.770 -1.174 0.192 8.534" Properties=species:S:1:pos:R:3 pbc="T T T"
Ge -0.225 -4.467 3.356
Os -0.536 -2.388 4.838
Ni 0.000 0.000 0.000
Ge -0.846 -0.310 6.320
```

- Total magnetization: 0.00 μB per cell
- DOS(E_F): 2.8 states/eV/f.u.
- Mass density: 10.32 g cm⁻³

---

ii is the least stable structure shown above.